[1]
DFT (PBE-GGA) results for Gd3Mg3In2Pd after structural relaxation.

VASP energy ... -3.741 eV/atom
Total magnetic moment ... 0.007 μB/f.u.
Space group ... No. 189

Lattice parameters (Å, degrees): 7.5490 7.5490 4.5213 90.00 90.00 120.00
Atoms (fractional coordinates):
Mg (0.0000, 0.2326, 0.5000)
Mg (0.2326, 0.0000, 0.5000)
Mg (0.7674, 0.7674, 0.5000)
Gd (0.0000, 0.5962, 0.0000)
Gd (0.4038, 0.4038, 0.0000)
Gd (0.5962, 0.0000, 0.0000)
In (0.6667, 0.3333, 0.5000)
In (0.3333, 0.6667, 0.5000)
Pd (0.0000, 0.0000, 0.0000)

[2]
DFT (PBE-GGA) results for ThP7 after structural relaxation.

VASP energy ... -6.037 eV/atom
Total magnetic moment ... 0.000 μB/f.u.
Space group ... No. 19

Lattice parameters (Å, degrees): 10.2197 10.4258 5.6403 90.00 90.00 90.00
Atoms (fractional coordinates):
P (0.7410, 0.0002, 0.7719)
P (0.7314, 0.2864, 0.5496)
P (0.2590, 0.5002, 0.7281)
P (0.5581, 0.7390, 0.1364)
P (0.5520, 0.4483, 0.9413)
P (0.7686, 0.7136, 0.0496)
P (0.2453, 0.2954, 0.8222)
P (0.7590, 0.9998, 0.2719)
P (0.7547, 0.7954, 0.6778)
P (0.9480, 0.5517, 0.4413)
P (0.2599, 0.0019, 0.9904)
P (0.4419, 0.2390, 0.3636)
P (0.5503, 0.9480, 0.2079)
P (0.0581, 0.7610, 0.8636)
P (0.9419, 0.2610, 0.6364)
P (0.7453, 0.2046, 0.1778)
P (0.2401, 0.9981, 0.4904)
P (0.7401, 0.5019, 0.5096)
P (0.9497, 0.0520, 0.7079)
P (0.4480, 0.9483, 0.5587)
P (0.2410, 0.4998, 0.2281)
P (0.2686, 0.7864, 0.9504)
P (0.0520, 0.0517, 0.0587)
P (0.2314, 0.2136, 0.4504)
P (0.2547, 0.7046, 0.3222)
P (0.0503, 0.5520, 0.7921)
P (0.4497, 0.4480, 0.2921)
P (0.7599, 0.4981, 0.0096)
Th (0.9900, 0.8310, 0.3630)
Th (0.4900, 0.6690, 0.6370)
Th (0.5100, 0.1690, 0.8630)
Th (0.0100, 0.3310, 0.1370)

[3]
DFT (PBE-GGA) results for ZnTe after structural relaxation.

VASP energy ... -2.195 eV/atom
Space group ... No. 11

Lattice parameters (Å, degrees): 8.0121 6.2946 5.7017 90.00 90.00 93.70
Atoms (fractional coordinates):
Zn (0.4471, 0.9107, 0.5000)
Zn (0.0793, 0.0019, 0.0000)
Zn (0.1430, 0.0539, 0.5000)
Zn (0.4245, 0.3281, 0.5000)
Zn (0.7979, 0.7275, 0.0000)
Zn (0.7748, 0.1447, 0.0000)
Te (0.4194, 0.8985, 0.0000)
Te (0.0700, 0.4764, 0.0000)
Te (0.7182, 0.6664, 0.5000)
Te (0.5039, 0.3891, 0.0000)
Te (0.1522, 0.5791, 0.5000)
Te (0.8028, 0.1570, 0.5000)

[4]
DFT (PBE-GGA) results for RbScMo after structural relaxation.

Excess energy over the best structure of this formula in the dataset ... 44.8 kJ/mol of atoms
Total magnetic moment ... 2.438 μB/f.u.
Space group ... No. 216

Lattice parameters (Å, degrees): 5.0401 5.0401 5.0401 60.00 60.00 60.00
Atoms (fractional coordinates):
Sc (0.7500, 0.7500, 0.7500)
Rb (0.0000, 0.0000, 0.0000)
Mo (0.2500, 0.2500, 0.2500)

[5]
DFT (PBE-GGA) results for ZrCoTcSb after structural relaxation.

Excess energy over the best structure of this formula in the dataset ... 43.5 kJ/mol of atoms
Total magnetic moment ... 2.908 μB/f.u.
Space group ... No. 216

Lattice parameters (Å, degrees): 4.5934 4.5934 4.5934 60.00 60.00 60.00
Last column: magnetic moment on the atom in μB.
Atoms (fractional coordinates):
Sb (0.0000, 0.0000, 0.0000)  0.02
Zr (0.2500, 0.2500, 0.2500)  -0.04
Tc (0.5000, 0.5000, 0.5000)  1.21
Co (0.7500, 0.7500, 0.7500)  1.64

[6]
DFT (PBE-GGA) results for Co2SiNi after structural relaxation.

VASP energy ... -6.542 eV/atom
Total magnetic moment ... 2.360 μB/f.u.
Space group ... No. 216

Lattice parameters (Å, degrees): 3.9287 3.9287 3.9287 60.00 60.00 60.00
Last column: magnetic moment on the atom in μB.
Atoms (fractional coordinates):
Co (0.2500, 0.2500, 0.2500)  1.39
Co (0.0000, 0.0000, 0.0000)  1.00
Ni (0.5000, 0.5000, 0.5000)  0.00
Si (0.7500, 0.7500, 0.7500)  -0.01

[7]
DFT (PBE-GGA) results for ScNbTc2 after structural relaxation.

ΔE_f ... 15.5 kJ/mol of atoms
Excess energy over the best structure of this formula in the dataset ... 41.2 kJ/mol of atoms
Total magnetic moment ... 0.004 μB/f.u.
Space group ... No. 62

Lattice parameters (Å, degrees): 5.6039 6.7370 7.6430 90.00 90.00 90.00
Atoms (fractional coordinates):
Tc (0.4064, 0.0461, 0.8028)
Tc (0.9064, 0.9539, 0.6972)
Tc (0.5936, 0.5461, 0.1972)
Tc (0.0936, 0.4539, 0.3028)
Tc (0.4064, 0.4539, 0.8028)
Tc (0.5936, 0.9539, 0.1972)
Tc (0.9064, 0.5461, 0.6972)
Tc (0.0936, 0.0461, 0.3028)
Sc (0.3600, 0.7500, 0.5384)
Sc (0.1400, 0.7500, 0.0384)
Sc (0.6400, 0.2500, 0.4616)
Sc (0.8600, 0.2500, 0.9616)
Nb (0.8486, 0.7500, 0.4104)
Nb (0.1514, 0.2500, 0.5896)
Nb (0.3486, 0.2500, 0.0896)
Nb (0.6514, 0.7500, 0.9104)

[8]
DFT (PBE-GGA) results for Ho3Sc3SbTeOs after structural relaxation.

VASP energy ... -6.446 eV/atom
Total magnetic moment ... 0.002 μB/f.u.
Space group ... No. 174

Lattice parameters (Å, degrees): 7.8785 7.8785 4.0721 90.00 90.00 120.00
Atoms (fractional coordinates):
Sc (0.2297, 0.9990, 0.5000)
Sc (0.7693, 0.7703, 0.5000)
Sc (0.0010, 0.2307, 0.5000)
Te (0.6667, 0.3333, 0.5000)
Ho (0.6098, 0.9967, 0.0000)
Ho (0.0033, 0.6131, 0.0000)
Ho (0.3869, 0.3902, 0.0000)
Os (0.0000, 0.0000, 0.0000)
Sb (0.3333, 0.6667, 0.5000)

Copy entry 1 word for word.
DFT (PBE-GGA) results for Gd3Mg3In2Pd after structural relaxation.

VASP energy ... -3.741 eV/atom
Total magnetic moment ... 0.007 μB/f.u.
Space group ... No. 189

Lattice parameters (Å, degrees): 7.5490 7.5490 4.5213 90.00 90.00 120.00
Atoms (fractional coordinates):
Mg (0.0000, 0.2326, 0.5000)
Mg (0.2326, 0.0000, 0.5000)
Mg (0.7674, 0.7674, 0.5000)
Gd (0.0000, 0.5962, 0.0000)
Gd (0.4038, 0.4038, 0.0000)
Gd (0.5962, 0.0000, 0.0000)
In (0.6667, 0.3333, 0.5000)
In (0.3333, 0.6667, 0.5000)
Pd (0.0000, 0.0000, 0.0000)